A plane-wave DFT calculation with GGA-PBE was carried out for an optimized crystal structure of MgAlCr2.

Computed properties:
E_tot: -46.6 eV/cell
DFT formation energy: 0.317 eV per atom

```
data_MgAlCr2
_cell_length_a 5.179
_cell_length_b 8.545
_cell_length_c 2.578
_cell_angle_alpha 90.00
_cell_angle_beta 103.58
_cell_angle_gamma 90.00
_space_group_name_H-M_alt 'C 1 2/m 1'
_space_group_IT_number 12
loop_
_space_group_symop_operation_xyz
'x,y,z'
'-x,-y,-z'
'-x,y,-z'
'x,-y,z'
'x+1/2,y+1/2,z'
'-x+1/2,-y+1/2,-z'
'-x+1/2,y+1/2,-z'
'x+1/2,-y+1/2,z'
loop_
_atom_site_label
_atom_site_type_symbol
_atom_site_fract_x
_atom_site_fract_y
_atom_site_fract_z
Mg1 Mg 0.000 0.000 0.000
Al1 Al 0.000 0.500 0.000
Cr1 Cr 0.250 0.250 0.500
```